Density functional theory data (PBE) for an optimized crystal structure of AlRuBr.

Cell and atoms, written as extended XYZ:
```
3
Lattice="-1.558 1.558 5.828 1.558 -1.558 5.828 1.558 1.558 -5.828" Properties=species:S:1:pos:R:3 pbc="T T T"
Al 0.000 0.000 0.000
Ru 0.000 0.000 7.047
Br 0.000 0.000 3.129
```

Output
The calculation puts the energy above the most stable polymorph in this dataset at 92 meV per atom. As for the crystal system: tetragonal. The value obtained for the total moment is 0.000 μB/f.u.